Record 1
VASP calculation (GGA-PBE) on a relaxed structure of Ce3P3O.

a b c (Å): 7.0667 7.0667 6.9708
angles (deg): 92.88 92.88 114.18
Closest atoms and distances in Å follow each position.
Sites, in units of the cell vectors:
Ce 0.8874 0.8874 0.2049  2 O 2.38-2.40
Ce 0.8598 0.5352 0.7290  1 O 2.29
Ce 0.5352 0.8598 0.7290  1 O 2.29
Ce 0.1402 0.4648 0.2710  1 O 2.29
Ce 0.4648 0.1402 0.2710  1 O 2.29
Ce 0.1126 0.1126 0.7951  2 O 2.38-2.40
P 0.5863 0.5863 0.3898  1 P 2.12
P 0.1659 0.8341 0.5000  6 Ce 2.92-2.94
P 0.8341 0.1659 0.5000  6 Ce 2.92-2.94
P 0.2279 0.7721 0.0000  4 Ce 2.84-2.96, 2 O 3.16
P 0.7721 0.2279 0.0000  4 Ce 2.84-2.96, 2 O 3.16
P 0.4137 0.4137 0.6102  1 P 2.12
O 0.8143 0.8143 0.8627  4 Ce 2.29-2.40
O 0.1857 0.1857 0.1373  4 Ce 2.29-2.40

Results
ΔE_f (raw) = -1742 meV per atom

=====

Record 2
VASP calculation (GGA-PBE) on a relaxed structure of EuThAgAu.

a b c (Å): 5.2843 5.2843 5.2843
angles (deg): 60.00 60.00 60.00
Closest atoms and distances in Å follow each position.
Sites, in units of the cell vectors:
Eu 0.7500 0.7500 0.7500  4 Ag 3.24, 4 Au 3.24
Au 0.5000 0.5000 0.5000  4 Eu 3.24, 4 Th 3.24
Ag 0.0000 0.0000 0.0000  4 Th 3.24, 4 Eu 3.24
Th 0.2500 0.2500 0.2500  4 Au 3.24, 4 Ag 3.24

=====

Record 3
VASP calculation (GGA-PBE) on a relaxed structure of LaCeSmTh.

a b c (Å): 5.7156 5.7156 5.7156
angles (deg): 60.00 60.00 60.00
Closest atoms and distances in Å follow each position.
Sites, in units of the cell vectors:
Ce 0.0000 0.0000 0.0000  4 La 3.50, 4 Th 3.50
Sm 0.5000 0.5000 0.5000  4 La 3.50, 4 Th 3.50
Th 0.7500 0.7500 0.7500  4 Sm 3.50, 4 Ce 3.50
La 0.2500 0.2500 0.2500  4 Ce 3.50, 4 Sm 3.50

Results
Distance to the lowest polymorph of the same formula = 0.76 eV/f.u.

=====

Record 4
VASP calculation (GGA-PBE) on a relaxed structure of Pm3Ho4Al.

a b c (Å): 3.5636 3.5636 19.1517
angles (deg): 90.00 90.00 90.00
Closest atoms and distances in Å follow each position.
Sites, in units of the cell vectors:
Al 0.5000 0.5000 0.0000  8 Ho 3.14
Ho 0.0000 0.0000 0.9026  4 Al 3.14
Ho 0.0000 0.0000 0.0974  4 Al 3.14
Ho 0.0000 0.0000 0.3663  4 Ho 3.56, 8 Pm 3.59
Ho 0.0000 0.0000 0.6337  4 Ho 3.56, 8 Pm 3.59
Pm 0.5000 0.5000 0.2325  4 Pm 3.56, 8 Ho 3.59-3.61
Pm 0.5000 0.5000 0.5000  4 Pm 3.56, 8 Ho 3.59
Pm 0.5000 0.5000 0.7675  4 Pm 3.56, 8 Ho 3.59-3.61

=====

Record 5
VASP calculation (GGA-PBE) on a relaxed structure of UCo2Pt.

a b c (Å): 4.2662 4.2662 4.5463
angles (deg): 62.02 62.02 60.00
Closest atoms and distances in Å follow each position.
Sites, in units of the cell vectors:
Co 0.2756 0.2756 0.1732  3 U 2.55, 4 Pt 2.57-2.76, 3 Co 2.80
Co 0.7244 0.7244 0.8268  3 U 2.55, 4 Pt 2.57-2.76, 3 Co 2.80
U 0.0000 0.0000 0.0000  6 Co 2.55
Pt 0.5000 0.5000 0.5000  8 Co 2.57-2.76

=====

Record 6
VASP calculation (GGA-PBE) on a relaxed structure of ScTaCrCoAs.

a b c (Å): 3.8695 3.7009 11.2663
angles (deg): 90.00 90.00 90.00
Closest atoms and distances in Å follow each position.
Sites, in units of the cell vectors:
Sc 0.0000 0.5000 0.9198  4 As 2.91, 4 Co 2.91
Sc 0.5000 0.0000 0.4198  4 As 2.91, 4 Co 2.91
Ta 0.0000 0.0000 0.1816  2 Co 2.40, 2 As 2.65, 4 Cr 2.68
Ta 0.5000 0.5000 0.6816  2 Co 2.40, 2 As 2.65, 4 Cr 2.68
Cr 0.0000 0.0000 0.6777  2 Co 2.50, 2 As 2.56, 4 Ta 2.68
Cr 0.5000 0.5000 0.1777  2 Co 2.50, 2 As 2.56, 4 Ta 2.68
Co 0.0000 0.5000 0.3176  1 As 2.29, 2 Ta 2.40, 2 Cr 2.50
Co 0.5000 0.0000 0.8176  1 As 2.29, 2 Ta 2.40, 2 Cr 2.50
As 0.0000 0.5000 0.5207  1 Co 2.29, 2 Cr 2.56
As 0.5000 0.0000 0.0207  1 Co 2.29, 2 Cr 2.56

Results
Distance to the lowest polymorph of the same formula = 0.05 eV/f.u.

=====

| no. | VASP energy (eV/atom) | size of the total moment (μB per formula unit) |
| --- | --- | --- |
| 1 | -7.312 | 2.07 |
| 2 | -6.323 | 7.34 |
| 3 | -5.528 | 1.43 |
| 4 | -4.625 | 0.00 |
| 5 | -8.159 | 0.22 |
| 6 | -8.252 | 1.16 |